BaCa14Pm, optimized geometry, DFT PBE; total magnetization = 0.00 μB/cell; energy relative to the elements = 0.0402 eV per atom
1.0
7.8090 -0.4918 0.0000
-3.5130 6.9915 0.0000
0.0000 0.0000 12.8254
Ca Pm Ba
14 1 1
direct
0.0389 0.4586 0.5000
0.2104 0.7896 0.0000
0.5414 0.9611 0.5000
0.3802 0.1295 0.7512
0.8705 0.6198 0.2488
0.8734 0.1266 0.7541
0.8705 0.6198 0.7512
0.8734 0.1266 0.2459
0.3802 0.1295 0.2488
0.2100 0.2919 0.0000
0.7081 0.7900 0.0000
0.3762 0.6238 0.2542
0.3762 0.6238 0.7458
0.7098 0.2902 0.0000
0.5407 0.4593 0.5000
0.0400 0.9600 0.5000